Record 1
Crystalline CuPtRh2 at its relaxed geometry. Source: the Alexandria database, functional PBEsol.

Calculated values
Distance to the lowest polymorph of the same formula   0.021 eV per atom
V   13.5 Å³ per atom
Theoretical density   14.3 g/cm³

Cell and atoms, written as CIF:
```
data_CuPtRh2
_chemical_formula_sum 'Cu3 Pt3 Rh6'
_cell_length_a 2.6829
_cell_length_b 2.6829
_cell_length_c 25.9292
_cell_angle_alpha 90.00
_cell_angle_beta 90.00
_cell_angle_gamma 120.00
_symmetry_space_group_name_H-M 'R 3 m'
_symmetry_Int_Tables_number 160
_symmetry_space_group_name_Hall 'R 3 -2"'
loop_
_atom_site_label
_atom_site_type_symbol
_atom_site_fract_x
_atom_site_fract_y
_atom_site_fract_z
Cu1 Cu 0.0000 0.0000 0.0000
Pt1 Pt 0.0000 0.0000 0.2509
Rh1 Rh 0.0000 0.0000 0.4962
Rh2 Rh 0.0000 0.0000 0.7474
```

Record 2
Crystalline CuPtRh at its relaxed geometry. Source: the Alexandria database, functional PBEsol.

Calculated values
V   13.5 Å³ per atom
Theoretical density   14.9 g/cm³
E_tot   -0.238 hartree per atom

Cell and atoms, written as CIF:
```
data_CuPtRh
_chemical_formula_sum 'Cu1 Pt1 Rh1'
_cell_length_a 2.6831
_cell_length_b 2.6831
_cell_length_c 6.4756
_cell_angle_alpha 90.00
_cell_angle_beta 90.00
_cell_angle_gamma 120.00
_symmetry_space_group_name_H-M 'P 3 m 1'
_symmetry_Int_Tables_number 156
loop_
_symmetry_equiv_pos_as_xyz
'x,y,z'
'-y,x-y,z'
'-x+y,-x,z'
'-y,-x,z'
'-x+y,y,z'
'x,x-y,z'
loop_
_atom_site_label
_atom_site_type_symbol
_atom_site_fract_x
_atom_site_fract_y
_atom_site_fract_z
Cu1 Cu 0.0000 0.0000 0.0000
Pt1 Pt 0.3333 0.6667 0.6705
Rh1 Rh 0.6667 0.3333 0.3202
```

Record 3
Crystalline CuPtRh2 at its relaxed geometry. Source: the Alexandria database, functional PBEsol.

Calculated values
Distance to the lowest polymorph of the same formula   0.065 eV per atom
V   13.5 Å³ per atom
Theoretical density   14.3 g/cm³

Cell and atoms, written as CIF:
```
data_CuPtRh2
_chemical_formula_sum 'Cu2 Pt2 Rh4'
_cell_length_a 5.304
_cell_length_b 7.624
_cell_length_c 2.669
_cell_angle_alpha 90.00
_cell_angle_beta 90.00
_cell_angle_gamma 90.00
_symmetry_space_group_name_H-M 'C m m m'
_symmetry_Int_Tables_number 65
_symmetry_space_group_name_Hall '-C 2 2'
loop_
_atom_site_label
_atom_site_type_symbol
_atom_site_fract_x
_atom_site_fract_y
_atom_site_fract_z
Cu1 Cu 0.000 0.000 0.000
Pt1 Pt 0.000 0.500 0.000
Rh1 Rh 0.250 0.250 0.500
```

Record 4
Crystalline CuPt3Rh at its relaxed geometry. Source: the Alexandria database, functional PBEsol.

Calculated values
V   20.9 Å³ per atom
Theoretical density   11.9 g/cm³
E_tot   -0.183 hartree per atom

Cell and atoms, written as CIF:
```
data_CuPt3Rh
_chemical_formula_sum 'Cu1 Pt3 Rh1'
_cell_length_a 4.710
_cell_length_b 4.710
_cell_length_c 4.710
_cell_angle_alpha 90.00
_cell_angle_beta 90.00
_cell_angle_gamma 90.00
_symmetry_space_group_name_H-M 'P m -3 m'
_symmetry_Int_Tables_number 221
_symmetry_space_group_name_Hall '-P 4 2 3'
loop_
_atom_site_label
_atom_site_type_symbol
_atom_site_fract_x
_atom_site_fract_y
_atom_site_fract_z
Cu1 Cu 0.000 0.000 0.000
Pt1 Pt 0.000 0.500 0.500
Rh1 Rh 0.500 0.500 0.500
```

Record 5
Crystalline Cu2PtRh at its relaxed geometry. Source: the Alexandria database, functional PBEsol.

Calculated values
Distance to the lowest polymorph of the same formula   0.057 eV per atom
V   12.9 Å³ per atom
Theoretical density   13.6 g/cm³

Cell and atoms, written as CIF:
```
data_Cu2PtRh
_chemical_formula_sum 'Cu4 Pt2 Rh2'
_cell_length_a 3.729
_cell_length_b 3.729
_cell_length_c 7.447
_cell_angle_alpha 90.00
_cell_angle_beta 90.00
_cell_angle_gamma 90.00
_symmetry_space_group_name_H-M 'I -4 m 2'
_symmetry_Int_Tables_number 119
_symmetry_space_group_name_Hall 'I -4 -2'
loop_
_atom_site_label
_atom_site_type_symbol
_atom_site_fract_x
_atom_site_fract_y
_atom_site_fract_z
Cu1 Cu 0.000 0.000 0.000
Cu2 Cu 0.000 0.500 0.250
Pt1 Pt 0.000 0.000 0.500
Rh1 Rh 0.000 0.500 0.750
```

Record 6
Crystalline Cu2PtRh at its relaxed geometry. Source: the Alexandria database, functional PBEsol.

Calculated values
Distance to the lowest polymorph of the same formula   0.023 eV per atom
V   13.0 Å³ per atom
Theoretical density   13.6 g/cm³

Cell and atoms, written as CIF:
```
data_Cu2PtRh
_chemical_formula_sum 'Cu6 Pt3 Rh3'
_cell_length_a 2.6587
_cell_length_b 2.6587
_cell_length_c 25.5006
_cell_angle_alpha 90.00
_cell_angle_beta 90.00
_cell_angle_gamma 120.00
_symmetry_space_group_name_H-M 'R -3 m'
_symmetry_Int_Tables_number 166
_symmetry_space_group_name_Hall '-R 3 2"'
loop_
_atom_site_label
_atom_site_type_symbol
_atom_site_fract_x
_atom_site_fract_y
_atom_site_fract_z
Cu1 Cu 0.0000 0.0000 0.2487
Pt1 Pt 0.0000 0.0000 0.0000
Rh1 Rh 0.0000 0.0000 0.5000
```